Density functional theory data (GGA-PBE) for crystalline Er3NCl3 at its relaxed geometry.

a b c (Å): 6.243 6.243 10.492
angles (deg): 72.69 72.69 60.00
Fractional positions:
Er  0.956  0.305  0.133
Er  0.607  0.956  0.133
Er  0.305  0.607  0.133
Er  0.695  0.393  0.867
Er  0.393  0.044  0.867
Er  0.044  0.695  0.867
N  0.667  0.667  0.000
N  0.333  0.333  0.000
Cl  0.225  0.897  0.310
Cl  0.569  0.225  0.310
Cl  0.897  0.569  0.310
Cl  0.103  0.431  0.690
Cl  0.431  0.775  0.690
Cl  0.775  0.103  0.690

Calculated values
energy: -80.4 eV for the cell shown
N(E_F): 4.2 states/eV/cell
ΔE_f (raw): -1.807 eV per atom

***

Density functional theory data (GGA-PBE) for crystalline Er2NCl2 at its relaxed geometry.

a b c (Å): 3.797 7.136 10.039
angles (deg): 98.46 100.90 90.00
Fractional positions:
Er  0.172  0.859  0.344
Er  0.828  0.141  0.656
Er  0.319  0.569  0.638
Er  0.681  0.431  0.362
N  0.210  0.601  0.420
N  0.790  0.399  0.580
Cl  0.107  0.186  0.214
Cl  0.893  0.814  0.786
Cl  0.418  0.286  0.836
Cl  0.582  0.714  0.164

Calculated values
energy: -60.8 eV for the cell shown
N(E_F): 2.1 states/eV/cell
ΔE_f (raw): -1.851 eV per atom

***

Density functional theory data (GGA-PBE) for crystalline Er2NCl2 at its relaxed geometry.

a b c (Å): 3.562 3.562 10.251
angles (deg): 79.99 79.99 60.00
Fractional positions:
Er  0.624  0.624  0.128
Er  0.376  0.376  0.872
N  0.000  0.000  0.000
Cl  0.232  0.232  0.304
Cl  0.768  0.768  0.696

Calculated values
energy: -31.1 eV for the cell shown
N(E_F): 1.5 states/eV/cell
ΔE_f (raw): -1.985 eV per atom

***

Density functional theory data (GGA-PBE) for crystalline Pr2ErN2Cl2 at its relaxed geometry.

a b c (Å): 4.469 4.469 8.287
angles (deg): 105.64 105.64 90.00
Each line ends with the local moment (μB).
Fractional positions:
Pr  0.402  0.402  0.804  0.33
Pr  0.598  0.598  0.196  0.33
Er  0.000  0.000  0.000  0.02
N  0.000  0.500  0.000  -0.02
N  0.500  0.000  0.000  -0.02
Cl  0.181  0.181  0.363  0.01
Cl  0.819  0.819  0.637  0.01

Calculated values
energy: -45.1 eV for the cell shown
N(E_F): 1.7 states/eV/cell
ΔE_f (raw): -1.524 eV per atom

***

Density functional theory data (GGA-PBE) for crystalline Na3ErCl6 at its relaxed geometry.

a b c (Å): 7.476 7.476 7.476
angles (deg): 60.00 60.00 60.00
Fractional positions:
Na  0.750  0.750  0.750
Na  0.250  0.250  0.250
Na  0.500  0.500  0.500
Er  0.000  0.000  0.000
Cl  0.245  0.755  0.245
Cl  0.755  0.245  0.245
Cl  0.755  0.245  0.755
Cl  0.245  0.245  0.755
Cl  0.755  0.755  0.245
Cl  0.245  0.755  0.755

Calculated values
energy: -38.3 eV for the cell shown
N(E_F): 0.0 states/eV/cell
ΔE_f (raw): -1.868 eV per atom

***

Density functional theory data (GGA-PBE) for crystalline NaErCl4 at its relaxed geometry.

a b c (Å): 4.007 6.503 7.245
angles (deg): 92.94 90.00 90.00
Fractional positions:
Na  0.500  0.000  0.500
Er  0.000  0.000  0.000
Cl  0.000  0.796  0.297
Cl  0.500  0.227  0.146
Cl  0.500  0.773  0.854
Cl  0.000  0.204  0.703

Calculated values
energy: -25.9 eV for the cell shown
distance to the lowest polymorph of the same formula: 0.015 eV per atom
N(E_F): 0.0 states/eV/cell
ΔE_f (raw): -2.113 eV per atom

***

Density functional theory data (GGA-PBE) for crystalline Na5Er3Cl12 at its relaxed geometry.

a b c (Å): 13.829 13.829 13.829
angles (deg): 109.47 109.47 109.47
Each line ends with the local moment (μB).
Fractional positions:
Er  0.750  0.375  0.125  0.39
Er  0.875  0.750  0.125  0.39
Er  0.375  0.750  0.625  0.39
Er  0.250  0.125  0.375  0.39
Er  0.875  0.125  0.250  0.39
Er  0.375  0.625  0.250  0.39
Er  0.625  0.375  0.750  0.39
Er  0.125  0.875  0.750  0.39
Er  0.750  0.875  0.625  0.39
Er  0.625  0.250  0.375  0.39
Er  0.125  0.250  0.875  0.39
Er  0.250  0.625  0.875  0.39
Na  0.125  0.375  0.250  0.00
Na  0.000  0.500  0.000  0.00
Na  0.000  0.000  0.000  0.00
Na  0.375  0.250  0.125  0.00
Na  0.500  0.000  0.500  0.00
Na  0.500  0.500  0.000  0.00
Na  0.125  0.750  0.375  0.00
Na  0.750  0.125  0.875  0.00
Na  0.750  0.625  0.375  0.00
Na  0.375  0.125  0.750  0.00
Na  0.625  0.875  0.250  0.00
Na  0.500  0.500  0.500  0.00
Na  0.500  0.000  0.000  0.00
Na  0.000  0.000  0.500  0.00
Na  0.250  0.375  0.625  0.00
Na  0.250  0.875  0.125  0.00
Na  0.000  0.500  0.500  0.00
Na  0.875  0.250  0.625  0.00
Na  0.625  0.750  0.875  0.00
Na  0.875  0.625  0.750  0.00
Cl  0.728  0.133  0.054  0.00
Cl  0.326  0.554  0.421  0.00
Cl  0.946  0.367  0.272  0.00
Cl  0.554  0.228  0.133  0.00
Cl  0.595  0.728  0.674  0.00
Cl  0.946  0.579  0.174  0.00
Cl  0.326  0.772  0.405  0.00
Cl  0.079  0.905  0.133  0.00
Cl  0.579  0.946  0.674  0.00
Cl  0.728  0.595  0.174  0.00
Cl  0.772  0.446  0.367  0.00
Cl  0.826  0.921  0.054  0.00
Cl  0.133  0.728  0.554  0.00
Cl  0.367  0.421  0.095  0.00
Cl  0.095  0.921  0.367  0.00
Cl  0.405  0.133  0.579  0.00
Cl  0.095  0.174  0.228  0.00
Cl  0.446  0.674  0.079  0.00
Cl  0.826  0.905  0.272  0.00
Cl  0.133  0.405  0.079  0.00
Cl  0.367  0.946  0.772  0.00
Cl  0.579  0.633  0.405  0.00
Cl  0.921  0.826  0.554  0.00
Cl  0.772  0.326  0.905  0.00
Cl  0.421  0.367  0.595  0.00
Cl  0.079  0.174  0.446  0.00
Cl  0.228  0.674  0.095  0.00
Cl  0.174  0.095  0.728  0.00
Cl  0.633  0.054  0.228  0.00
Cl  0.867  0.595  0.921  0.00
Cl  0.554  0.326  0.921  0.00
Cl  0.595  0.867  0.421  0.00
Cl  0.905  0.826  0.772  0.00
Cl  0.905  0.079  0.633  0.00
Cl  0.867  0.272  0.446  0.00
Cl  0.174  0.079  0.946  0.00
Cl  0.633  0.579  0.905  0.00
Cl  0.421  0.054  0.326  0.00
Cl  0.272  0.405  0.826  0.00
Cl  0.228  0.554  0.633  0.00
Cl  0.921  0.095  0.867  0.00
Cl  0.674  0.228  0.595  0.00
Cl  0.446  0.772  0.867  0.00
Cl  0.054  0.421  0.826  0.00
Cl  0.405  0.272  0.326  0.00
Cl  0.054  0.633  0.728  0.00
Cl  0.674  0.446  0.579  0.00
Cl  0.272  0.867  0.946  0.00

Calculated values
energy: -307.5 eV for the cell shown
N(E_F): 30.7 states/eV/cell
ΔE_f (raw): -1.721 eV per atom

***

Density functional theory data (GGA-PBE) for crystalline NaErCl4 at its relaxed geometry.

a b c (Å): 6.545 7.174 8.773
angles (deg): 111.21 108.75 97.26
Fractional positions:
Na  0.434  0.684  0.368
Na  0.566  0.316  0.632
Er  0.830  0.080  0.161
Er  0.170  0.920  0.839
Cl  0.285  0.977  0.604
Cl  0.080  0.826  0.091
Cl  0.182  0.373  0.396
Cl  0.490  0.735  0.909
Cl  0.715  0.023  0.396
Cl  0.818  0.627  0.604
Cl  0.920  0.174  0.909
Cl  0.510  0.265  0.091

Calculated values
energy: -51.8 eV for the cell shown
distance to the lowest polymorph of the same formula: 0.022 eV per atom
N(E_F): 0.0 states/eV/cell
ΔE_f (raw): -2.106 eV per atom

***

Density functional theory data (GGA-PBE) for crystalline Na3ErCl6 at its relaxed geometry.

a b c (Å): 6.913 7.308 10.248
angles (deg): 90.00 89.14 90.00
Fractional positions:
Na  0.526  0.925  0.764
Na  0.500  0.500  0.000
Na  0.474  0.075  0.236
Na  0.026  0.575  0.264
Na  0.000  0.000  0.500
Na  0.974  0.425  0.736
Er  0.500  0.500  0.500
Er  0.000  0.000  0.000
Cl  0.690  0.182  0.938
Cl  0.672  0.201  0.584
Cl  0.641  0.432  0.265
Cl  0.359  0.568  0.735
Cl  0.328  0.799  0.416
Cl  0.310  0.818  0.062
Cl  0.190  0.318  0.438
Cl  0.172  0.299  0.084
Cl  0.141  0.068  0.765
Cl  0.859  0.932  0.235
Cl  0.828  0.701  0.916
Cl  0.810  0.682  0.562

Calculated values
energy: -79.2 eV for the cell shown
N(E_F): 0.0 states/eV/cell
ΔE_f (raw): -2.000 eV per atom

***

Density functional theory data (GGA-PBE) for crystalline NaErCl3 at its relaxed geometry.

a b c (Å): 6.521 7.391 7.392
angles (deg): 120.05 89.97 90.02
Fractional positions:
Na  0.750  0.667  0.334
Na  0.250  0.333  0.667
Er  0.000  0.000  0.000
Er  0.500  0.000  0.000
Cl  0.750  0.668  0.834
Cl  0.250  0.834  0.668
Cl  0.250  0.332  0.166
Cl  0.750  0.166  0.332
Cl  0.250  0.834  0.166
Cl  0.750  0.166  0.834

Calculated values
energy: -39.9 eV for the cell shown
N(E_F): 2.9 states/eV/cell
ΔE_f (raw): -1.708 eV per atom

***

Density functional theory data (GGA-PBE) for crystalline NaErCl4 at its relaxed geometry.

a b c (Å): 7.748 6.435 6.818
angles (deg): 87.20 90.00 90.00
Fractional positions:
Na  0.355  0.500  0.250
Na  0.645  0.500  0.750
Er  0.846  0.000  0.250
Er  0.154  0.000  0.750
Cl  0.628  0.745  0.402
Cl  0.628  0.255  0.098
Cl  0.105  0.221  0.065
Cl  0.105  0.779  0.435
Cl  0.895  0.779  0.935
Cl  0.895  0.221  0.565
Cl  0.372  0.745  0.902
Cl  0.372  0.255  0.598

Calculated values
energy: -52.1 eV for the cell shown
distance to the lowest polymorph of the same formula: 0.000 eV per atom
N(E_F): 0.0 states/eV/cell
ΔE_f (raw): -2.128 eV per atom

***

Density functional theory data (GGA-PBE) for crystalline NaErPb2Cl8 at its relaxed geometry.

a b c (Å): 6.725 6.483 8.572
angles (deg): 90.00 90.00 89.59
Fractional positions:
Na  0.000  0.000  0.500
Er  0.000  0.000  0.000
Pb  0.500  0.500  0.746
Pb  0.500  0.500  0.254
Cl  0.156  0.780  0.229
Cl  0.685  0.758  0.000
Cl  0.844  0.220  0.229
Cl  0.844  0.220  0.771
Cl  0.315  0.242  0.000
Cl  0.156  0.780  0.771
Cl  0.669  0.727  0.500
Cl  0.331  0.273  0.500

Calculated values
energy: -47.7 eV for the cell shown
N(E_F): 0.0 states/eV/cell
ΔE_f (raw): -1.635 eV per atom

***

N(E_F) of number 11 (NaErCl4)? 0.0 states/eV/cell

***

Which value of ΔE_f (raw) does entry 3 give? -1.985 eV per atom

***

Look up the energy of the twelfth one. -47.7 eV for the cell shown

***

Which of these has the lowest ΔE_f (raw)? number 11